A plane-wave DFT calculation with PBE-GGA was carried out for an optimized crystal structure of ZnPdRh2Pb.

abc: 4.9829 4.9829 4.9827
angles: 90.00 90.00 90.00
With the nearest neighbours (Å) after each atom.
Positions (direct):
Zn 0.0000 0.0000 0.0000  8 Rh 3.52, 4 Pd 3.52
Pd 0.5000 0.5000 0.0000  2 Pb 2.49
Rh 0.0000 0.5000 0.5000  2 Pb 2.49
Rh 0.5000 0.0000 0.5000  2 Pb 2.49
Pb 0.5000 0.5000 0.5000  2 Pd 2.49, 4 Rh 2.49

Calculated values
space group	P4/mmm
energy of formation	1.136	eV/atom